{
  "formula": "K3Rb8Na3",
  "functional": "PBE-GGA",
  "state": "optimized geometry",
  "ef_ev_per_atom": 0.03,
  "lattice": [[11.251, -3.161, 0.000], [11.251, 3.161, 0.000], [-2.477, 0.000, 14.919]],
  "species": ["K", "K", "K", "Rb", "Rb", "Rb", "Rb", "Rb", "Rb", "Rb", "Rb", "Na", "Na", "Na"],
  "frac_coords": [[0.000, 0.000, 0.000], [0.386, 0.386, 0.466], [0.614, 0.614, 0.534], [0.141, 0.141, 0.771], [0.183, 0.183, 0.275], [0.336, 0.336, 0.982], [0.480, 0.480, 0.752], [0.520, 0.520, 0.248], [0.664, 0.664, 0.018], [0.817, 0.817, 0.725], [0.859, 0.859, 0.229], [0.000, 0.000, 0.500], [0.230, 0.230, 0.553], [0.770, 0.770, 0.447]]
}